(1)
DFT (PBE) results for a relaxed CrPtW2 crystal.

a = 9.3146 Å, b = 9.3146 Å, c = 9.3146 Å
α = 17.18°, β = 17.18°, γ = 17.18°
Last column: nearest neighbours and their distance in Å.
Element x y z (fractional)
Cr  0.0000  0.0000  0.0000  3 W 2.71, 3 Pt 2.72, 6 Cr 2.78
Pt  0.7464  0.7464  0.7464  3 Cr 2.72, 6 Pt 2.78, 3 W 2.83
W  0.2540  0.2540  0.2540  3 Cr 2.71, 9 W 2.78-2.94
W  0.4979  0.4979  0.4979  9 W 2.78-2.94, 3 Pt 2.83

Values from the calculation:
DOS at the Fermi energy = 2.875 states/eV per cell
calculated density = 16.599 g/cm3
formation energy from the elements = 0.2176 eV per atom
total DFT energy (no corrections) = -10.175 eV/atom

---

(2)
DFT (PBE) results for a relaxed ZnRh2Br crystal.

a = 4.5061 Å, b = 4.5061 Å, c = 5.0944 Å
α = 101.32°, β = 101.32°, γ = 39.04°
Last column: nearest neighbours and their distance in Å.
Element x y z (fractional)
Zn  0.0000  0.0000  0.0000  6 Rh 2.62-2.70
Rh  0.2581  0.2581  0.7675  3 Zn 2.62-2.70, 3 Br 2.69-2.77, 2 Rh 2.83
Rh  0.7419  0.7419  0.2325  3 Zn 2.62-2.70, 3 Br 2.69-2.77, 2 Rh 2.83
Br  0.5000  0.5000  0.5000  6 Rh 2.69-2.77, 4 Zn 2.96, 2 Br 3.01

Values from the calculation:
DOS at the Fermi energy = 4.268 states/eV per cell
calculated density = 9.149 g/cm3
formation energy from raw total energies = 0.244 eV per atom
total DFT energy (no corrections) = -4.168 eV/atom

---

(3)
DFT (PBE) results for a relaxed YTlZn2Cl8 crystal.

a = 10.4004 Å, b = 10.4004 Å, c = 10.4004 Å
α = 36.09°, β = 36.09°, γ = 36.09°
Last column: nearest neighbours and their distance in Å.
Element x y z (fractional)
Y  0.0000  0.0000  0.0000  6 Cl 2.66
Tl  0.5000  0.5000  0.5000  12 Cl 3.73-3.91
Zn  0.2510  0.2510  0.2510  4 Cl 2.21-2.33
Zn  0.7490  0.7490  0.7490  4 Cl 2.21-2.33
Cl  0.0597  0.7174  0.3849  1 Zn 2.33
Cl  0.1752  0.1752  0.1752  1 Zn 2.21
Cl  0.2826  0.6151  0.9403  1 Zn 2.33
Cl  0.3849  0.0597  0.7174  1 Zn 2.33
Cl  0.6151  0.9403  0.2826  1 Zn 2.33
Cl  0.7174  0.3849  0.0597  1 Zn 2.33
Cl  0.8248  0.8248  0.8248  1 Zn 2.21
Cl  0.9403  0.2826  0.6151  1 Zn 2.33

Values from the calculation:
DOS at the Fermi energy = 0.000 states/eV per cell
calculated density = 3.366 g/cm3
formation energy from raw total energies = -1.471 eV per atom
total DFT energy (no corrections) = -3.651 eV/atom

---

(4)
DFT (PBE) results for a relaxed CdCoTc crystal.

a = 2.7755 Å, b = 2.7755 Å, c = 6.8098 Å
α = 90.00°, β = 90.00°, γ = 120.00°
Last column: nearest neighbours and their distance in Å.
Element x y z (fractional)
Cd  0.0000  0.0000  0.0000  6 Cd 2.78, 3 Co 2.84, 3 Tc 3.01
Co  0.3333  0.6667  0.3439  3 Tc 2.50, 6 Co 2.78
Tc  0.6667  0.3333  0.6253  3 Co 2.50, 6 Tc 2.78

Values from the calculation:
DOS at the Fermi energy = 3.269 states/eV per cell
calculated density = 9.845 g/cm3
formation energy from the elements = 0.3139 eV per atom
total DFT energy (no corrections) = -5.815 eV/atom